# 1
VASP calculation (PBE-GGA) on a relaxed Mg2SbTe crystal.

The space group is Imm2 (No. 44) and the conventional cell measures 3.7959, 3.8532 and 14.9263 Å, with angles of 90.00, 90.00 and 90.00 degrees. The inequivalent atoms are Mg at (0.0000, 0.0000, 0.0000), Mg at (0.0000, 0.5000, 0.2383), Sb at (0.0000, 0.5000, 0.8406) and Te at (0.0000, 0.0000, 0.5867).

The calculation puts the offset from the most stable computed form at 115 meV/atom. The electronic total energy is -2.97 eV/atom. As for the total magnetic moment: 0.00 μB per formula unit. The value obtained for the raw formation energy is -353.3 meV/atom.

---

# 2
VASP calculation (PBE-GGA) on a relaxed CaAc4Pr7 crystal.

The space group is P-1 (No. 2) and the conventional cell measures 6.6757, 7.6338 and 9.5789 Å, with angles of 90.18, 103.41 and 90.11 degrees. The inequivalent atoms are Ca at (0.0000, 0.0000, 0.0000), Ac at (0.2218, 0.4973, 0.6743), Ac at (0.2847, 0.2473, 0.3311), Pr at (0.0000, 0.5000, 0.0000), Pr at (0.2220, 0.9993, 0.6630), Pr at (0.2816, 0.7493, 0.3302) and Pr at (0.4955, 0.7492, 0.0034).

The electronic total energy is -4.29 eV/atom. As for the total magnetic moment: 0.00 μB per formula unit. For the formation enthalpy at 0 K, the calculation gives 38 meV/atom.

---

# 3
VASP calculation (PBE-GGA) on a relaxed PrDy2ThSb4 crystal.

The space group is P2/m (No. 10) and the conventional cell measures 7.6963, 4.4671 and 7.7308 Å, with angles of 90.00, 109.51 and 90.00 degrees. The inequivalent atoms are Pr at (0.0000, 0.0000, 0.0000), Dy at (0.5000, 0.0000, 0.5000), Dy at (0.5000, 0.5000, 0.0000), Th at (0.0000, 0.5000, 0.5000), Sb at (0.2592, 0.0000, 0.7516) and Sb at (0.2598, 0.5000, 0.2552).

The electronic total energy is -5.84 eV/atom. As for the total magnetic moment: 0.00 μB per formula unit. The value obtained for the raw formation energy is -1105.4 meV/atom.

---

# 4
VASP calculation (PBE-GGA) on a relaxed Ca2YTaS crystal.

The space group is P4/mmm (No. 123) and the conventional cell measures 6.2095, 6.2095 and 4.9128 Å, with angles of 90.00, 90.00 and 90.00 degrees. The inequivalent atoms are Ca at (0.0000, 0.5000, 0.0000), Y at (0.0000, 0.0000, 0.0000), Ta at (0.5000, 0.5000, 0.5000) and S at (0.0000, 0.0000, 0.5000).

The electronic total energy is -4.22 eV/atom. As for the total magnetic moment: 2.88 μB per formula unit. The value obtained for the raw formation energy is 1067.2 meV/atom.

---

# 5
VASP calculation (PBE-GGA) on a relaxed SrLi2Sb crystal.

The space group is I-42d (No. 122) and the conventional cell measures 4.8788, 4.8788 and 19.6749 Å, with angles of 90.00, 90.00 and 90.00 degrees. The inequivalent atoms are Sr at (0.0000, 0.0000, 0.0000), Li at (0.0943, 0.2500, 0.6250) and Sb at (0.0000, 0.0000, 0.5000).

The electronic total energy is -2.81 eV/atom. As for the total magnetic moment: 0.00 μB per formula unit. The value obtained for the raw formation energy is -401.3 meV/atom.

---

# 6
VASP calculation (PBE-GGA) on a relaxed Er2HgAu crystal.

The space group is P4/mmm (No. 123) and the conventional cell measures 3.6446, 3.6446 and 7.1985 Å, with angles of 90.00, 90.00 and 90.00 degrees. The inequivalent atoms are Er at (0.0000, 0.0000, 0.2392), Hg at (0.5000, 0.5000, 0.5000) and Au at (0.5000, 0.5000, 0.0000).

The electronic total energy is -3.86 eV/atom. As for the total magnetic moment: 0.00 μB per formula unit. For the formation enthalpy at 0 K, the calculation gives -683 meV/atom.

---

# 7
VASP calculation (PBE-GGA) on a relaxed PrInPb4 crystal.

The space group is F-43m (No. 216) and the conventional cell measures 9.1565, 9.1565 and 9.1565 Å, with angles of 90.00, 90.00 and 90.00 degrees. The inequivalent atoms are Pr at (0.0000, 0.0000, 0.0000), In at (0.2500, 0.2500, 0.2500) and Pb at (0.1255, 0.1255, 0.6255).

The electronic total energy is -3.81 eV/atom. As for the total magnetic moment: 0.00 μB per formula unit. For the formation enthalpy at 0 K, the calculation gives -88 meV/atom.

---

# 8
VASP calculation (PBE-GGA) on a relaxed AcSmBi2 crystal.

The space group is Fm-3m (No. 225) and the conventional cell measures 8.1426, 8.1426 and 8.1426 Å, with angles of 90.00, 90.00 and 90.00 degrees. The inequivalent atoms are Ac at (0.0000, 0.0000, 0.0000), Sm at (0.0000, 0.0000, 0.5000) and Bi at (0.2500, 0.2500, 0.2500).

The calculation puts the offset from the most stable computed form at 248 meV/atom. The electronic total energy is -4.85 eV/atom. As for the total magnetic moment: 0.00 μB per formula unit. For the formation enthalpy at 0 K, the calculation gives -705 meV/atom.

---

# 9
VASP calculation (PBE-GGA) on a relaxed Ac4SbIr crystal.

The space group is P-1 (No. 2) and the conventional cell measures 7.3825, 7.9479 and 9.1190 Å, with angles of 74.09, 66.22 and 89.96 degrees. The inequivalent atoms are Ac at (0.0201, 0.4597, 0.3113), Ac at (0.1710, 0.9590, 0.3128), Ac at (0.2714, 0.8472, 0.8344), Ac at (0.3938, 0.3477, 0.8343), Sb at (0.3246, 0.2494, 0.5007), Ir at (0.0000, 0.5000, 0.0000) and Ir at (0.5000, 0.0000, 0.0000).

The electronic total energy is -5.46 eV/atom. As for the total magnetic moment: 0.00 μB per formula unit. The value obtained for the raw formation energy is -561.0 meV/atom.